First-principles (PBE) data for a relaxed In2SbCl2 crystal, as listed in Alexandria via LeMat-Bulk.

Properties
VASP energy: -2.917 eV/atom
symmetry: P4/mbm (127)

Unit cell a=8.8864 b=8.8864 c=3.4374 alpha=90.00 beta=90.00 gamma=90.00
Fractional positions:
In: 0.3220 0.1780 0.5000
In: 0.8220 0.3220 0.5000
In: 0.6780 0.8220 0.5000
In: 0.1780 0.6780 0.5000
Cl: 0.6288 0.1288 0.0000
Cl: 0.1288 0.3712 0.0000
Cl: 0.8712 0.6288 0.0000
Cl: 0.3712 0.8712 0.0000
Sb: 0.0000 0.0000 0.0000
Sb: 0.5000 0.5000 0.0000